An optimized crystal structure of RbZnGa2Ir. Source: Alexandria, functional PBE.

a b c (Å): 4.8678 4.8678 5.0626
angles (deg): 90.00 90.00 90.00
Closest atoms and distances in Å follow each position.
Element x y z (fractional)
Rb 0.0000 0.0000 0.0000  4 Zn 3.44, 8 Ga 3.51
Zn 0.5000 0.5000 0.0000  2 Ir 2.53
Ga 0.0000 0.5000 0.5000  2 Ir 2.43
Ga 0.5000 0.0000 0.5000  2 Ir 2.43
Ir 0.5000 0.5000 0.5000  4 Ga 2.43, 2 Zn 2.53

Summary:
ΔH_f (0 K) in kJ/mol of formula units: -146.1
V in Å³/f.u.: 120